No. 1
Material: BO
Method: DFT, GGA-PBE
State: relaxed

- Uncorrected energy: -60.3 eV per cell
- DOS at the Fermi energy: 0.00 states/eV per cell
- Excess energy over the best structure of this formula in the dataset: 113 meV/atom
- Space group: C2/m (12)
- Formation energy from raw total energies: -1.713 eV/atom

abc: 4.250 2.454 6.549
angles: 90.00 102.18 90.00
Atoms (fractional coordinates):
B (0.045, 0.000, 0.138)
B (0.455, 0.500, 0.862)
B (0.545, 0.500, 0.138)
B (0.955, 0.000, 0.862)
O (0.241, 0.500, 0.228)
O (0.259, 0.000, 0.772)
O (0.741, 0.000, 0.228)
O (0.759, 0.500, 0.772)


No. 2
Material: BO3
Method: DFT, GGA-PBE
State: relaxed

- Uncorrected energy: -93.3 eV per cell
- DOS at the Fermi energy: 0.53 states/eV per cell
- Excess energy over the best structure of this formula in the dataset: 4 meV/atom
- Space group: P-1 (2)
- Formation energy from raw total energies: -0.444 eV/atom

abc: 5.593 6.227 6.367
angles: 77.22 77.40 87.01
Atoms (fractional coordinates):
B (0.040, 0.192, 0.302)
B (0.363, 0.674, 0.101)
B (0.637, 0.326, 0.899)
B (0.960, 0.808, 0.698)
O (0.103, 0.211, 0.081)
O (0.132, 0.672, 0.218)
O (0.201, 0.828, 0.581)
O (0.216, 0.187, 0.428)
O (0.420, 0.744, 0.872)
O (0.444, 0.400, 0.795)
O (0.556, 0.600, 0.205)
O (0.580, 0.256, 0.128)
O (0.784, 0.813, 0.572)
O (0.799, 0.172, 0.419)
O (0.868, 0.328, 0.782)
O (0.897, 0.789, 0.919)


No. 3
Material: BO
Method: DFT, GGA-PBE
State: relaxed

- Uncorrected energy: -120.4 eV per cell
- Excess energy over the best structure of this formula in the dataset: 117 meV/atom
- Space group: P2_12_12_1 (19)
- Formation energy from raw total energies: -1.710 eV/atom

abc: 4.486 6.146 7.355
angles: 90.00 90.00 90.00
Atoms (fractional coordinates):
B (0.008, 0.138, 0.000)
B (0.081, 0.361, 0.500)
B (0.419, 0.639, 0.000)
B (0.492, 0.862, 0.500)
B (0.508, 0.362, 0.000)
B (0.581, 0.139, 0.500)
B (0.919, 0.861, 0.000)
B (0.992, 0.638, 0.500)
O (0.121, 0.693, 0.003)
O (0.195, 0.807, 0.503)
O (0.305, 0.193, 0.003)
O (0.379, 0.307, 0.503)
O (0.621, 0.807, 0.997)
O (0.695, 0.693, 0.497)
O (0.805, 0.307, 0.997)
O (0.879, 0.193, 0.497)


No. 4
Material: BO
Method: DFT, GGA-PBE
State: relaxed

- Uncorrected energy: -50.3 eV per cell
- DOS at the Fermi energy: 2.09 states/eV per cell
- Excess energy over the best structure of this formula in the dataset: 1361 meV/atom
- Space group: Fddd (70)
- Formation energy from raw total energies: -0.465 eV/atom

abc: 8.410 6.334 6.089
angles: 85.19 48.63 46.18
Atoms (fractional coordinates):
B (0.125, 0.125, 0.625)
B (0.375, 0.375, 0.875)
B (0.625, 0.625, 0.125)
B (0.875, 0.875, 0.375)
O (0.031, 0.719, 0.031)
O (0.281, 0.969, 0.281)
O (0.719, 0.031, 0.719)
O (0.969, 0.281, 0.969)


No. 5
Material: BO2
Method: DFT, GGA-PBE
State: relaxed

- Uncorrected energy: -37.9 eV per cell
- DOS at the Fermi energy: 2.12 states/eV per cell
- Space group: C2/m (12)
- Formation energy from raw total energies: -0.790 eV/atom

abc: 4.333 2.490 4.482
angles: 90.00 98.00 90.00
Atoms (fractional coordinates):
B (0.000, 0.000, 0.000)
B (0.500, 0.500, 0.000)
O (0.202, 0.500, 0.188)
O (0.298, 0.000, 0.812)
O (0.702, 0.000, 0.188)
O (0.798, 0.500, 0.812)


No. 6
Material: BO
Method: DFT, GGA-PBE
State: relaxed

- Uncorrected energy: -86.4 eV per cell
- DOS at the Fermi energy: 3.02 states/eV per cell
- Excess energy over the best structure of this formula in the dataset: 445 meV/atom
- Space group: Imm2 (44)
- Formation energy from raw total energies: -1.381 eV/atom

abc: 2.492 12.952 3.791
angles: 90.00 90.00 90.00
Atoms (fractional coordinates):
B (0.000, 0.000, 0.000)
B (0.000, 0.099, 0.334)
B (0.000, 0.901, 0.334)
B (0.500, 0.401, 0.834)
B (0.500, 0.500, 0.500)
B (0.500, 0.599, 0.834)
O (0.000, 0.000, 0.655)
O (0.000, 0.351, 0.863)
O (0.000, 0.649, 0.863)
O (0.500, 0.149, 0.363)
O (0.500, 0.500, 0.155)
O (0.500, 0.851, 0.363)


No. 7
Material: BO
Method: DFT, GGA-PBE
State: relaxed

- Uncorrected energy: -26.3 eV per cell
- DOS at the Fermi energy: 0.69 states/eV per cell
- Excess energy over the best structure of this formula in the dataset: 1058 meV/atom
- Space group: P6_3mc (186)
- Formation energy from raw total energies: -0.768 eV/atom

abc: 2.452 2.452 8.753
angles: 90.00 90.00 120.00
Atoms (fractional coordinates):
B (0.333, 0.667, 0.000)
B (0.667, 0.333, 0.500)
O (0.333, 0.667, 0.442)
O (0.667, 0.333, 0.942)


No. 8
Material: BO
Method: DFT, GGA-PBE
State: relaxed

- Uncorrected energy: -100.9 eV per cell
- DOS at the Fermi energy: 17.66 states/eV per cell
- Excess energy over the best structure of this formula in the dataset: 1335 meV/atom
- Space group: I-43m (217)
- Formation energy from raw total energies: -0.491 eV/atom

abc: 6.551 6.551 6.551
angles: 90.00 90.00 90.00
Atoms (fractional coordinates):
B (0.099, 0.099, 0.099)
B (0.099, 0.901, 0.901)
B (0.401, 0.401, 0.599)
B (0.401, 0.599, 0.401)
B (0.599, 0.401, 0.401)
B (0.599, 0.599, 0.599)
B (0.901, 0.099, 0.901)
B (0.901, 0.901, 0.099)
O (0.209, 0.209, 0.209)
O (0.209, 0.791, 0.791)
O (0.291, 0.291, 0.709)
O (0.291, 0.709, 0.291)
O (0.709, 0.291, 0.291)
O (0.709, 0.709, 0.709)
O (0.791, 0.209, 0.791)
O (0.791, 0.791, 0.209)


No. 9
Material: BO
Method: DFT, GGA-PBE
State: relaxed

- Uncorrected energy: -61.2 eV per cell
- DOS at the Fermi energy: 0.00 states/eV per cell
- Excess energy over the best structure of this formula in the dataset: 0 meV/atom
- Space group: P4_2/mnm (136)
- Formation energy from raw total energies: -1.826 eV/atom

abc: 6.381 6.381 2.361
angles: 90.00 90.00 90.00
Atoms (fractional coordinates):
B (0.095, 0.095, 0.000)
B (0.405, 0.595, 0.500)
B (0.595, 0.405, 0.500)
B (0.905, 0.905, 0.000)
O (0.177, 0.177, 0.500)
O (0.323, 0.677, 0.000)
O (0.677, 0.323, 0.000)
O (0.823, 0.823, 0.500)


No. 10
Material: BOsO2
Method: DFT, GGA-PBE
State: relaxed

- Uncorrected energy: -117.6 eV per cell
- DOS at the Fermi energy: 6.05 states/eV per cell
- Space group: I-42d (122)
- Formation energy from raw total energies: -0.396 eV/atom

abc: 4.376 4.376 7.422
angles: 90.00 90.00 90.00
Atoms (fractional coordinates):
B (0.000, 0.000, 0.000)
B (0.000, 0.500, 0.250)
B (0.500, 0.000, 0.750)
B (0.500, 0.500, 0.500)
Os (0.000, 0.000, 0.500)
Os (0.000, 0.500, 0.750)
Os (0.500, 0.000, 0.250)
Os (0.500, 0.500, 0.000)
O (0.111, 0.250, 0.125)
O (0.250, 0.611, 0.375)
O (0.250, 0.889, 0.875)
O (0.389, 0.250, 0.625)
O (0.611, 0.750, 0.625)
O (0.750, 0.111, 0.875)
O (0.750, 0.389, 0.375)
O (0.889, 0.750, 0.125)


No. 11
Material: BOsO2
Method: DFT, GGA-PBE
State: relaxed

- Uncorrected energy: -85.9 eV per cell
- DOS at the Fermi energy: 8.47 states/eV per cell
- Space group: R-3m (166)
- Formation energy from raw total energies: -0.204 eV/atom

abc: 2.705 2.705 19.757
angles: 90.00 90.00 120.00
Atoms (fractional coordinates):
B (0.000, 0.000, 0.000)
B (0.333, 0.667, 0.667)
B (0.667, 0.333, 0.333)
Os (0.000, 0.000, 0.500)
Os (0.333, 0.667, 0.167)
Os (0.667, 0.333, 0.833)
O (0.000, 0.000, 0.064)
O (0.000, 0.000, 0.936)
O (0.333, 0.667, 0.602)
O (0.333, 0.667, 0.731)
O (0.667, 0.333, 0.269)
O (0.667, 0.333, 0.398)


No. 12
Material: BOs2O
Method: DFT, GGA-PBE
State: relaxed

- Uncorrected energy: -126.9 eV per cell
- DOS at the Fermi energy: 10.06 states/eV per cell
- Excess energy over the best structure of this formula in the dataset: 54 meV/atom
- Space group: Fm-3m (225)
- Formation energy from raw total energies: 0.592 eV/atom

abc: 5.500 5.500 5.500
angles: 90.00 90.00 90.00
Atoms (fractional coordinates):
B (0.000, 0.000, 0.000)
B (0.000, 0.500, 0.500)
B (0.500, 0.000, 0.500)
B (0.500, 0.500, 0.000)
Os (0.250, 0.250, 0.250)
Os (0.250, 0.250, 0.750)
Os (0.250, 0.750, 0.250)
Os (0.250, 0.750, 0.750)
Os (0.750, 0.250, 0.250)
Os (0.750, 0.250, 0.750)
Os (0.750, 0.750, 0.250)
Os (0.750, 0.750, 0.750)
O (0.000, 0.000, 0.500)
O (0.000, 0.500, 0.000)
O (0.500, 0.000, 0.000)
O (0.500, 0.500, 0.500)


No. 13
Material: BOs2O
Method: DFT, GGA-PBE
State: relaxed

- Uncorrected energy: -127.8 eV per cell
- DOS at the Fermi energy: 11.99 states/eV per cell
- Excess energy over the best structure of this formula in the dataset: 0 meV/atom
- Space group: I-42d (122)
- Formation energy from raw total energies: 0.538 eV/atom

abc: 4.851 4.851 8.652
angles: 90.00 90.00 90.00
Atoms (fractional coordinates):
B (0.000, 0.000, 0.000)
B (0.000, 0.500, 0.250)
B (0.500, 0.000, 0.750)
B (0.500, 0.500, 0.500)
Os (0.248, 0.250, 0.625)
Os (0.250, 0.748, 0.875)
Os (0.250, 0.752, 0.375)
Os (0.252, 0.250, 0.125)
Os (0.748, 0.750, 0.125)
Os (0.750, 0.248, 0.375)
Os (0.750, 0.252, 0.875)
Os (0.752, 0.750, 0.625)
O (0.000, 0.000, 0.500)
O (0.000, 0.500, 0.750)
O (0.500, 0.000, 0.250)
O (0.500, 0.500, 0.000)


No. 14
Material: BOsO
Method: DFT, GGA-PBE
State: relaxed

- Uncorrected energy: -96.2 eV per cell
- DOS at the Fermi energy: 6.55 states/eV per cell
- Space group: Cmc2_1 (36)
- Formation energy from raw total energies: -0.398 eV/atom

abc: 2.723 13.840 3.943
angles: 90.00 90.00 90.00
Atoms (fractional coordinates):
B (0.000, 0.159, 0.000)
B (0.000, 0.841, 0.500)
B (0.500, 0.341, 0.500)
B (0.500, 0.659, 0.000)
Os (0.000, 0.313, 0.089)
Os (0.000, 0.687, 0.589)
Os (0.500, 0.187, 0.589)
Os (0.500, 0.813, 0.089)
O (0.000, 0.102, 0.290)
O (0.000, 0.898, 0.790)
O (0.500, 0.398, 0.790)
O (0.500, 0.602, 0.290)


No. 15
Material: B4Os2O
Method: DFT, GGA-PBE
State: relaxed

- Uncorrected energy: -100.9 eV per cell
- DOS at the Fermi energy: 3.15 states/eV per cell
- Space group: I4/mmm (139)
- Formation energy from raw total energies: 0.524 eV/atom

abc: 3.029 3.029 13.717
angles: 90.00 90.00 90.00
Atoms (fractional coordinates):
B (0.000, 0.000, 0.201)
B (0.000, 0.000, 0.799)
B (0.000, 0.500, 0.000)
B (0.000, 0.500, 0.500)
B (0.500, 0.000, 0.000)
B (0.500, 0.000, 0.500)
B (0.500, 0.500, 0.299)
B (0.500, 0.500, 0.701)
Os (0.000, 0.000, 0.363)
Os (0.000, 0.000, 0.637)
Os (0.500, 0.500, 0.137)
Os (0.500, 0.500, 0.863)
O (0.000, 0.000, 0.000)
O (0.500, 0.500, 0.500)


No. 16
Material: BOsO2
Method: DFT, GGA-PBE
State: relaxed

- Uncorrected energy: -92.9 eV per cell
- DOS at the Fermi energy: 4.17 states/eV per cell
- Space group: R-3m (166)
- Formation energy from raw total energies: -0.785 eV/atom

abc: 2.564 2.564 17.648
angles: 90.00 90.00 120.00
Atoms (fractional coordinates):
B (0.000, 0.000, 0.000)
B (0.333, 0.667, 0.667)
B (0.667, 0.333, 0.333)
Os (0.000, 0.000, 0.500)
Os (0.333, 0.667, 0.167)
Os (0.667, 0.333, 0.833)
O (0.000, 0.000, 0.383)
O (0.000, 0.000, 0.617)
O (0.333, 0.667, 0.049)
O (0.333, 0.667, 0.284)
O (0.667, 0.333, 0.716)
O (0.667, 0.333, 0.951)


No. 17
Material: B2OsO
Method: DFT, GGA-PBE
State: relaxed

- Uncorrected energy: -115.5 eV per cell
- DOS at the Fermi energy: 8.75 states/eV per cell
- Space group: I-42d (122)
- Formation energy from raw total energies: 0.165 eV/atom

abc: 4.775 4.775 6.426
angles: 90.00 90.00 90.00
Atoms (fractional coordinates):
B (0.163, 0.250, 0.125)
B (0.250, 0.663, 0.375)
B (0.250, 0.837, 0.875)
B (0.337, 0.250, 0.625)
B (0.663, 0.750, 0.625)
B (0.750, 0.163, 0.875)
B (0.750, 0.337, 0.375)
B (0.837, 0.750, 0.125)
Os (0.000, 0.000, 0.500)
Os (0.000, 0.500, 0.750)
Os (0.500, 0.000, 0.250)
Os (0.500, 0.500, 0.000)
O (0.000, 0.000, 0.000)
O (0.000, 0.500, 0.250)
O (0.500, 0.000, 0.750)
O (0.500, 0.500, 0.500)


No. 18
Material: BP2OsO
Method: DFT, GGA-PBE
State: relaxed

- Uncorrected energy: -31.8 eV per cell
- DOS at the Fermi energy: 3.07 states/eV per cell
- Excess energy over the best structure of this formula in the dataset: 0 meV/atom
- Space group: P4/mmm (123)
- Formation energy from raw total energies: 0.371 eV/atom

abc: 4.527 4.527 2.817
angles: 90.00 90.00 90.00
Atoms (fractional coordinates):
B (0.000, 0.000, 0.000)
P (0.000, 0.500, 0.000)
P (0.500, 0.000, 0.000)
Os (0.500, 0.500, 0.500)
O (0.000, 0.000, 0.500)


No. 19
Material: BP2OsO
Method: DFT, GGA-PBE
State: relaxed

- Uncorrected energy: -28.8 eV per cell
- DOS at the Fermi energy: 4.41 states/eV per cell
- Excess energy over the best structure of this formula in the dataset: 607 meV/atom
- Space group: P4/mmm (123)
- Formation energy from raw total energies: 0.978 eV/atom

abc: 4.723 4.723 3.645
angles: 90.00 90.00 90.00
Atoms (fractional coordinates):
B (0.000, 0.000, 0.000)
P (0.000, 0.500, 0.500)
P (0.500, 0.000, 0.500)
Os (0.500, 0.500, 0.500)
O (0.500, 0.500, 0.000)


No. 20
Material: BPOsO2
Method: DFT, GGA-PBE
State: relaxed

- Uncorrected energy: -31.5 eV per cell
- DOS at the Fermi energy: 4.45 states/eV per cell
- Excess energy over the best structure of this formula in the dataset: 198 meV/atom
- Space group: P4/mmm (123)
- Formation energy from raw total energies: 0.340 eV/atom

abc: 3.675 3.675 5.267
angles: 90.00 90.00 90.00
Atoms (fractional coordinates):
B (0.000, 0.000, 0.000)
P (0.500, 0.500, 0.000)
Os (0.500, 0.500, 0.500)
O (0.000, 0.500, 0.500)
O (0.500, 0.000, 0.500)